VASP calculation (PBE) on a relaxed TmThTiIn crystal.

## Properties
Raw total energy: -5.63 eV per atom
Symmetry: F-43m, No. 216
Energy of formation from the pure elements: 0.00 eV/atom

Cell: 5.3056 5.3056 5.3056 Å, 60.00 60.00 60.00°
Fractional positions:
1 Tm 0.0000 0.0000 0.0000
2 Th 0.5000 0.5000 0.5000
3 Ti 0.2500 0.2500 0.2500
4 In 0.7500 0.7500 0.7500

=====

VASP calculation (PBE) on a relaxed Tb8Dy3Ho2 crystal.

## Properties
Raw total energy: -4.39 eV per atom
Symmetry: C2/m, No. 12
Energy of formation from the pure elements: 0.23 eV/atom

Cell: 10.7342 10.7342 5.6056 Å, 90.02 90.02 41.54°
Fractional positions:
1 Tb 0.1023 0.6823 0.9999
2 Tb 0.1690 0.1690 0.5006
3 Tb 0.3177 0.8977 0.0001
4 Tb 0.3670 0.3670 0.5003
5 Tb 0.6330 0.6330 0.4997
6 Tb 0.6823 0.1023 0.9999
7 Tb 0.8310 0.8310 0.4994
8 Tb 0.8977 0.3177 0.0001
9 Dy 0.2140 0.7860 0.5000
10 Dy 0.5000 0.5000 0.0000
11 Dy 0.7860 0.2140 0.5000
12 Ho 0.2588 0.2588 0.0007
13 Ho 0.7412 0.7412 0.9993

=====

VASP calculation (PBE) on a relaxed TiGa2AgS crystal.

## Properties
Raw total energy: -3.59 eV per atom
Energy relative to the elements, uncorrected: 2.97 eV/f.u.
Symmetry: P4/mmm, No. 123

Cell: 4.6992 4.6992 5.2640 Å, 90.00 90.00 90.00°
Fractional positions:
1 Ti 0.0000 0.0000 0.0000
2 Ga 0.0000 0.5000 0.5000
3 Ga 0.5000 0.0000 0.5000
4 Ag 0.0000 0.0000 0.5000
5 S 0.5000 0.5000 0.0000

=====

VASP calculation (PBE) on a relaxed Al2ZnBr crystal.

## Properties
Raw total energy: -2.36 eV per atom
Energy relative to the elements, uncorrected: 1.00 eV/f.u.
Symmetry: I-42d, No. 122
Offset from the most stable computed form: 185.9 meV per atom

Cell: 7.5434 7.5434 7.5434 Å, 132.68 132.68 69.16°
Fractional positions:
1 Al 0.0705 0.6250 0.9455
2 Al 0.3750 0.3205 0.4455
3 Al 0.6795 0.1250 0.0545
4 Al 0.8750 0.9295 0.5545
5 Zn 0.0000 0.0000 0.0000
6 Zn 0.7500 0.2500 0.5000
7 Br 0.2500 0.7500 0.5000
8 Br 0.5000 0.5000 0.0000